First-principles (meta-GGA SCAN) data for a PBEsol-optimized structure of Tb2In3Cu, as listed in Alexandria.

a = 4.653 Å, b = 4.653 Å, c = 7.352 Å
α = 90.00°, β = 90.00°, γ = 120.00°
Atoms (fractional coordinates):
1 Tb 0.000 0.000 0.000
2 Tb 0.000 0.000 0.461
3 In 0.333 0.667 0.789
4 In 0.667 0.333 0.241
5 In 0.667 0.333 0.674
6 Cu 0.333 0.667 0.178

Properties
Magnetic moment in μB per cell: 0.00
Calculated formation energy in kJ/mol of atoms: -55.03
Uncorrected energy in eV per atom: -35.384